[1]
DFT (PBE-GGA) results for a relaxed LuThZnAu crystal.

- V (Å³ per cell) = 95.6
- DOS(E_F) (states/eV per cell) = 4.44
- E_tot (eV/atom) = -4.565
- formation energy from the elements (kJ/mol of formula units) = -171
- SG = F-43m, No. 216

Unit cell a=5.1327 b=5.1327 c=5.1327 alpha=60.00 beta=60.00 gamma=60.00
Each line ends with the local moment (μB).
Sites, in units of the cell vectors:
Lu (0.2500, 0.2500, 0.2500)  0.06
Au (0.5000, 0.5000, 0.5000)  0.01
Zn (0.0000, 0.0000, 0.0000)  0.00
Th (0.7500, 0.7500, 0.7500)  0.06

=====

[2]
DFT (PBE-GGA) results for a relaxed Tm2InPd4 crystal.

- V (Å³ per cell) = 145.6
- DOS(E_F) (states/eV per cell) = 2.21
- E_tot (eV/atom) = -5.301
- formation energy from the elements (kJ/mol of formula units) = -449
- energy above the lowest structure with this stoichiometry (meV/atom) = 83
- SG = R-3m, No. 166

Unit cell a=4.6845 b=4.6845 c=8.1249 alpha=73.25 beta=73.25 gamma=60.00
Sites, in units of the cell vectors:
Pd (0.3733, 0.3733, 0.8802)
Tm (0.2450, 0.2450, 0.2650)
Tm (0.7550, 0.7550, 0.7350)
Pd (0.6267, 0.6267, 0.1198)
In (0.0000, 0.0000, 0.0000)
Pd (0.1237, 0.1237, 0.6289)
Pd (0.8763, 0.8763, 0.3711)

=====

[3]
DFT (PBE-GGA) results for a relaxed Sm3DyBi2 crystal.

- V (Å³ per cell) = 187.5
- DOS(E_F) (states/eV per cell) = 4.97
- E_tot (eV/atom) = -5.056
- formation energy from the elements (kJ/mol of formula units) = -368
- energy above the lowest structure with this stoichiometry (meV/atom) = 0
- SG = P-4m2, No. 115

Unit cell a=4.6074 b=4.6074 c=8.8340 alpha=90.00 beta=90.00 gamma=90.00
Sites, in units of the cell vectors:
Sm (0.0000, 0.5000, 0.6499)
Sm (0.0000, 0.0000, 0.0000)
Dy (0.5000, 0.5000, 0.0000)
Bi (0.0000, 0.5000, 0.2802)
Bi (0.5000, 0.0000, 0.7198)
Sm (0.5000, 0.0000, 0.3501)

=====

[4]
DFT (PBE-GGA) results for a relaxed Mg2SiSb crystal.

- V (Å³ per cell) = 85.1
- DOS(E_F) (states/eV per cell) = 1.77
- E_tot (eV/atom) = -3.153
- energy above the lowest structure with this stoichiometry (meV/atom) = 34
- SG = Immm, No. 71

Unit cell a=5.2224 b=5.2224 c=5.2224 alpha=131.83 beta=124.41 gamma=76.58
Sites, in units of the cell vectors:
Mg (0.5136, 0.5136, 0.0000)
Si (0.7500, 0.2500, 0.5000)
Sb (0.2500, 0.7500, 0.5000)
Mg (0.9864, 0.9864, 0.0000)

=====

[5]
DFT (PBE-GGA) results for a relaxed YScMo2 crystal.

- V (Å³ per cell) = 79.1
- DOS(E_F) (states/eV per cell) = 4.32
- E_tot (eV/atom) = -8.158
- formation energy from the elements (kJ/mol of formula units) = 176
- energy above the lowest structure with this stoichiometry (meV/atom) = 394
- SG = Cmmm, No. 65

Unit cell a=5.6066 b=5.6066 c=2.8667 alpha=90.00 beta=90.00 gamma=118.61
Sites, in units of the cell vectors:
Mo (0.0000, 0.0000, 0.0000)
Y (0.0000, 0.5000, 0.5000)
Mo (0.5000, 0.5000, 0.0000)
Sc (0.5000, 0.0000, 0.5000)

=====

[6]
DFT (PBE-GGA) results for a relaxed LaThTc crystal.

- V (Å³ per cell) = 78.1
- DOS(E_F) (states/eV per cell) = 2.48
- E_tot (eV/atom) = -7.464
- formation energy from the elements (kJ/mol of formula units) = 31
- energy above the lowest structure with this stoichiometry (meV/atom) = 124
- SG = P3m1, No. 156

Unit cell a=3.8867 b=4.8172 c=4.8172 alpha=120.00 beta=90.00 gamma=90.00
Sites, in units of the cell vectors:
Tc (0.0319, 0.0000, 0.0000)
Th (0.2639, 0.6667, 0.3333)
La (0.7042, 0.3333, 0.6667)

=====

[7]
DFT (PBE-GGA) results for a relaxed Er4Hg2Ir crystal.

- V (Å³ per cell) = 395.2
- DOS(E_F) (states/eV per cell) = 10.63
- E_tot (eV/atom) = -4.458
- formation energy from the elements (kJ/mol of formula units) = -337
- SG = Pbam, No. 55

Unit cell a=4.0295 b=7.8725 c=12.4568 alpha=90.00 beta=90.00 gamma=90.00
Sites, in units of the cell vectors:
Hg (0.5000, 0.9237, 0.8315)
Ir (0.0000, 0.0000, 0.5000)
Er (0.0000, 0.8676, 0.3021)
Ir (0.0000, 0.5000, 0.0000)
Hg (0.5000, 0.5763, 0.3315)
Er (0.5000, 0.7212, 0.0532)
Er (0.0000, 0.6324, 0.8021)
Hg (0.5000, 0.4237, 0.6685)
Er (0.5000, 0.2212, 0.4468)
Er (0.5000, 0.2788, 0.9468)
Er (0.0000, 0.1324, 0.6979)
Hg (0.5000, 0.0763, 0.1685)
Er (0.0000, 0.3676, 0.1979)
Er (0.5000, 0.7788, 0.5532)

=====

[8]
DFT (PBE-GGA) results for a relaxed GdCdAg2 crystal.

- V (Å³ per cell) = 91.2
- DOS(E_F) (states/eV per cell) = 4.14
- E_tot (eV/atom) = -5.308
- formation energy from the elements (kJ/mol of formula units) = -51
- SG = P4/mmm, No. 123

Unit cell a=4.0582 b=4.7409 c=4.7409 alpha=90.00 beta=90.00 gamma=90.00
Each line ends with the local moment (μB).
Sites, in units of the cell vectors:
Cd (0.5000, 0.5000, 0.5000)  0.00
Ag (0.0000, 0.5000, 0.0000)  0.01
Ag (0.0000, 0.0000, 0.5000)  0.01
Gd (0.5000, 0.0000, 0.0000)  7.07